## LiZr2CuSe4 (PBE)

Data for a relaxed LiZr2CuSe4 crystal.

Cell lengths 5.984, 5.984, 11.450 Å; angles 90.00, 90.00, 90.00 degrees
Space group I-4 (No. 82)
Unique sites:
Li (0.000, 0.000, 0.000) [2 per cell]
Zr (0.000, 0.000, 0.500) [2 per cell]
Zr (0.000, 0.500, 0.750) [2 per cell]
Cu (0.000, 0.500, 0.250) [2 per cell]
Se (0.234, 0.258, 0.130) [8 per cell]

Properties
Magnetization, Bohr magnetons per cell: 3.00
E_tot, eV per atom: -5.39